Entry 1:
This record from Alexandria via LeMat-Bulk describes VRh7W2 after structural relaxation. The functional is PBE. Values from VASP.

Summary:
DFT formation energy	372	meV per atom

Cell and atoms, written as Quantum ESPRESSO input:
```
&SYSTEM
  ibrav = 0, nat = 10, ntyp = 3
/
ATOMIC_SPECIES
V 50.94 V.upf
Rh 102.91 Rh.upf
W 183.84 W.upf
CELL_PARAMETERS angstrom
4.037 -7.537 0.000
4.037 7.537 0.000
0.000 0.000 2.713
ATOMIC_POSITIONS crystal
V 0.000 0.000 0.000
Rh 0.128 0.314 0.500
Rh 0.186 0.814 0.000
Rh 0.314 0.128 0.500
Rh 0.500 0.500 0.500
Rh 0.686 0.872 0.500
Rh 0.814 0.186 0.000
Rh 0.872 0.686 0.500
W 0.331 0.669 0.500
W 0.669 0.331 0.500
```


Entry 2:
This record from Alexandria via LeMat-Bulk describes ScCoSb2 after structural relaxation. The functional is PBE. Values from VASP.

Summary:
raw formation energy	-181	meV/atom

Cell and atoms, written as Quantum ESPRESSO input:
```
&SYSTEM
  ibrav = 0, nat = 4, ntyp = 3
/
ATOMIC_SPECIES
Sc 44.96 Sc.upf
Co 58.93 Co.upf
Sb 121.76 Sb.upf
CELL_PARAMETERS angstrom
3.800 0.000 0.000
0.000 3.800 0.000
0.000 0.000 5.751
ATOMIC_POSITIONS crystal
Sc 0.000 0.000 0.000
Co 0.500 0.500 0.334
Sb 0.000 0.000 0.485
Sb 0.500 0.500 0.831
```


Entry 3:
This record from Alexandria via LeMat-Bulk describes YSbBr2 after structural relaxation. The functional is PBE. Values from VASP.

Summary:
energy relative to the lowest polymorph listed for this composition	323	meV/atom
raw formation energy	-724	meV/atom

Cell and atoms, written as Quantum ESPRESSO input:
```
&SYSTEM
  ibrav = 0, nat = 4, ntyp = 3
/
ATOMIC_SPECIES
Y 88.91 Y.upf
Sb 121.76 Sb.upf
Br 79.90 Br.upf
CELL_PARAMETERS angstrom
3.571 0.000 0.000
0.000 5.012 0.000
0.000 0.000 5.928
ATOMIC_POSITIONS crystal
Y 0.000 0.000 0.000
Sb 0.500 0.000 0.500
Br 0.000 0.500 0.500
Br 0.500 0.500 0.000
```


Magnetic moment
In order: 0.0; 1.2; 0.0
Unit: μB/f.u.